Record 1
{"formula": "KNa2InBi2", "functional": "PBE", "state": "relaxed", "lattice": [[5.038, 0.000, 0.000], [0.000, 8.579, 0.000], [0.000, 0.000, 9.316]], "species": ["Na", "Bi", "Bi", "In", "Na", "K", "Na", "In", "Bi", "K", "Bi", "Na"], "fractional_positions": [[0.500, 0.531, 0.921], [0.000, 0.728, 0.143], [0.500, 0.287, 0.371], [0.500, 0.647, 0.323], [0.500, 0.031, 0.079], [0.000, 0.495, 0.569], [0.000, 0.858, 0.821], [0.500, 0.147, 0.677], [0.500, 0.787, 0.629], [0.000, 0.995, 0.431], [0.000, 0.228, 0.857], [0.000, 0.358, 0.179]], "formation_enthalpy_0k_mev_per_atom": -314, "sg": "No. 26"}

Record 2
{"formula": "KNaIn2Bi2", "functional": "PBE", "state": "relaxed", "lattice": [[-3.610, -0.908, 3.900], [3.715, -3.732, -1.157], [5.027, 3.321, 5.427]], "species": ["In", "Na", "K", "In", "Bi", "Bi"], "fractional_positions": [[0.333, 0.667, 0.648], [0.000, 0.000, 0.500], [0.000, 0.000, 0.000], [0.667, 0.333, 0.352], [0.333, 0.667, 0.264], [0.667, 0.333, 0.736]], "formation_enthalpy_0k_mev_per_atom": -254, "sg": "No. 164"}

Record 3
{"formula": "K2NaIn3Bi4", "functional": "PBE", "state": "relaxed", "lattice": [[5.120, 0.000, 0.000], [0.000, 5.120, 0.000], [0.000, 0.000, 13.717]], "species": ["Bi", "Bi", "K", "Na", "K", "In", "Bi", "In", "In", "Bi"], "fractional_positions": [[0.500, 0.000, 0.635], [0.000, 0.500, 0.365], [0.000, 0.500, 0.741], [0.500, 0.500, 0.500], [0.500, 0.000, 0.259], [0.000, 0.500, 0.142], [0.000, 0.000, 0.000], [0.000, 0.000, 0.500], [0.500, 0.000, 0.858], [0.500, 0.500, 0.000]], "formation_enthalpy_0k_mev_per_atom": -208, "sg": "No. 115"}

Record 4
{"formula": "KNaInBi", "functional": "PBE", "state": "relaxed", "lattice": [[5.708, 0.000, 0.000], [2.854, 4.943, 0.000], [2.854, 1.648, 4.661]], "species": ["Na", "K", "Bi", "In"], "fractional_positions": [[0.000, 0.000, 0.000], [0.250, 0.250, 0.250], [0.750, 0.750, 0.750], [0.500, 0.500, 0.500]], "formation_enthalpy_0k_mev_per_atom": -210, "sg": "No. 216"}

Record 5
{"formula": "K3InBi2O6", "functional": "PBE", "state": "relaxed", "lattice": [[6.141, -0.001, 0.000], [-3.070, 5.319, 0.000], [-1.024, -1.774, 6.256]], "species": ["O", "O", "In", "O", "O", "O", "O", "Bi", "K", "K", "K", "Bi"], "fractional_positions": [[0.621, 0.935, 0.805], [0.249, 0.249, 0.805], [0.000, 0.000, 0.000], [0.751, 0.751, 0.195], [0.379, 0.065, 0.195], [0.065, 0.379, 0.195], [0.935, 0.621, 0.805], [0.667, 0.333, 0.000], [0.834, 0.166, 0.500], [0.500, 0.500, 0.500], [0.166, 0.834, 0.500], [0.333, 0.667, 0.000]], "raw_formation_energy_ev_per_fu": -16.7, "sg": "No. 12"}

Record 6
{"formula": "KIn2BiP", "functional": "PBE", "state": "relaxed", "lattice": [[5.836, 0.000, 0.000], [0.000, 5.493, 0.000], [0.000, 0.000, 5.836]], "species": ["In", "Bi", "K", "In", "P"], "fractional_positions": [[0.000, 0.000, 0.500], [0.500, 0.500, 0.500], [0.000, 0.000, 0.000], [0.500, 0.000, 0.000], [0.000, 0.500, 0.000]], "formation_enthalpy_0k_mev_per_atom": 1008, "sg": "No. 123"}

Record 7
{"formula": "KInBi2Pb", "functional": "PBE", "state": "relaxed", "lattice": [[5.145, 0.000, 0.000], [0.000, 5.145, 0.000], [-2.573, -2.573, 7.193]], "species": ["In", "Bi", "Bi", "Pb", "K"], "fractional_positions": [[0.250, 0.750, 0.500], [0.613, 0.613, 0.226], [0.387, 0.387, 0.774], [0.750, 0.250, 0.500], [0.000, 0.000, 0.000]], "formation_enthalpy_0k_mev_per_atom": -175, "sg": "No. 119"}

Record 8
{"formula": "KInBiPb2", "functional": "PBE", "state": "relaxed", "lattice": [[-4.006, -3.467, 2.754], [-2.345, -1.391, -5.162], [3.722, -4.648, -0.438]], "species": ["Bi", "Pb", "K", "In", "Pb"], "fractional_positions": [[0.500, 0.500, 0.500], [0.500, 0.000, 0.000], [0.000, 0.000, 0.000], [0.000, 0.500, 0.000], [0.000, 0.000, 0.500]], "formation_enthalpy_0k_mev_per_atom": 865, "sg": "No. 123"}

| no. | total DFT energy (no corrections) (eV/f.u.) | volume (Å³ per cell) |
| --- | --- | --- |
| 1 | -16.12 | 403 |
| 2 | -17.18 | 204 |
| 3 | -29.33 | 360 |
| 4 | -9.88 | 132 |
| 5 | -60.28 | 204 |
| 6 | -10.83 | 187 |
| 7 | -16.18 | 190 |
| 8 | -10.81 | 208 |